# 1
# BeZnCu2

An optimized crystal structure of BeZnCu2 (PBE, Alexandria via LeMat-Bulk).

Summary:
Its energy above the most stable polymorph in this dataset is 8.1 kJ per mole of atoms. The uncorrected energy is -3.301 eV/atom. The formation energy from the elements is -0.27 kJ per mole of atoms.

Unit cell a=3.9547 b=2.5552 c=4.6548 alpha=81.27 beta=90.00 gamma=90.00
Closest atoms and distances in Å follow each position.
Element x y z (fractional)
1 Cu 0.0000 0.0179 0.9591  4 Be 2.39-2.59, 3 Zn 2.49-2.57, 4 Cu 2.54-2.56
2 Be 0.5000 0.6451 0.7869  6 Cu 2.34-2.62, 2 Zn 2.43, 2 Be 2.56
3 Cu 0.5000 0.2164 0.2693  2 Be 2.34-2.62, 4 Zn 2.51-2.60, 4 Cu 2.54-2.56
4 Zn 0.0000 0.6205 0.4848  2 Be 2.43, 7 Cu 2.49-2.60, 2 Zn 2.56



# 2
# BeZnCu2

An optimized crystal structure of BeZnCu2 (PBE, Alexandria via LeMat-Bulk).

Summary:
Its energy above the most stable polymorph in this dataset is 6.7 kJ per mole of atoms. The uncorrected energy is -3.315 eV/atom. The formation energy from the elements is -1.67 kJ per mole of atoms.

Unit cell a=4.4963 b=4.4963 c=4.4963 alpha=134.00 beta=134.00 gamma=67.09
Closest atoms and distances in Å follow each position.
Element x y z (fractional)
1 Cu 0.0000 0.0000 0.0000  4 Zn 2.48, 4 Be 2.57, 4 Cu 2.57
2 Be 0.7500 0.2500 0.5000  8 Cu 2.48-2.57, 4 Zn 2.57
3 Zn 0.5000 0.5000 0.0000  8 Cu 2.48-2.57, 4 Be 2.57
4 Cu 0.2500 0.7500 0.5000  4 Be 2.48, 4 Zn 2.57, 4 Cu 2.57



# 3
# BeZn2Cu

An optimized crystal structure of BeZn2Cu (PBE, Alexandria via LeMat-Bulk).

Summary:
The uncorrected energy is -2.564 eV/atom. The formation energy from the elements is 2.75 kJ per mole of atoms.

Unit cell a=4.8368 b=4.8368 c=4.8368 alpha=145.74 beta=129.54 gamma=62.41
Closest atoms and distances in Å follow each position.
Element x y z (fractional)
1 Be 0.4899 0.4899 0.0000  2 Cu 2.30, 6 Zn 2.46-2.51
2 Zn 0.7326 0.2326 0.5000  2 Be 2.46, 4 Cu 2.53, 2 Zn 2.68
3 Zn 0.0063 0.0063 0.0000  4 Be 2.51, 2 Cu 2.61, 4 Zn 2.68-2.79
4 Cu 0.2712 0.7712 0.5000  2 Be 2.30, 4 Zn 2.53



# 4
# BeZn2Cu

An optimized crystal structure of BeZn2Cu (PBE, Alexandria via LeMat-Bulk).

Summary:
The uncorrected energy is -2.533 eV/atom. The formation energy from the elements is 5.73 kJ per mole of atoms.

Unit cell a=3.1351 b=3.9640 c=3.9320 alpha=90.00 beta=90.00 gamma=90.00
Closest atoms and distances in Å follow each position.
Element x y z (fractional)
1 Zn 0.0000 0.0000 0.0000  4 Be 2.51, 4 Zn 2.53, 4 Cu 2.79
2 Zn 0.5000 0.5000 0.0000  4 Cu 2.51, 4 Zn 2.53, 4 Be 2.79
3 Cu 0.0000 0.5000 0.5000  8 Zn 2.51-2.79, 4 Be 2.53
4 Be 0.5000 0.0000 0.5000  8 Zn 2.51-2.79, 4 Cu 2.53



# 5
# BeZnCu

An optimized crystal structure of BeZnCu (PBE, Alexandria via LeMat-Bulk).

Summary:
Its energy above the most stable polymorph in this dataset is 0.0 kJ per mole of atoms. The uncorrected energy is -3.052 eV/atom. The formation energy from the elements is -1.96 kJ per mole of atoms.

Unit cell a=5.2685 b=5.2686 c=2.6294 alpha=75.54 beta=75.54 gamma=28.90
Closest atoms and distances in Å follow each position.
Element x y z (fractional)
1 Be 0.0073 0.0074 0.9928  4 Cu 2.33, 4 Zn 2.47
2 Cu 0.6505 0.6503 0.3494  4 Be 2.33
3 Zn 0.3422 0.3422 0.6578  4 Be 2.47, 4 Zn 2.63, 4 Cu 2.65



# 6
# BeZn2Cu

An optimized crystal structure of BeZn2Cu (PBE, Alexandria via LeMat-Bulk).

Summary:
The uncorrected energy is -2.512 eV/atom. The formation energy from the elements is 7.78 kJ per mole of atoms.

Unit cell a=2.6419 b=2.6419 c=8.2889 alpha=80.83 beta=80.83 gamma=60.00
Closest atoms and distances in Å follow each position.
Element x y z (fractional)
1 Zn 0.2463 0.2463 0.2612  3 Be 2.47, 3 Cu 2.61, 6 Zn 2.64
2 Zn 0.0871 0.0871 0.7388  3 Be 2.48, 3 Cu 2.62, 6 Zn 2.64
3 Cu 0.6664 0.6664 0.0008  6 Zn 2.61-2.62, 6 Cu 2.64
4 Be 0.5003 0.5003 0.4992  6 Zn 2.47-2.48, 6 Be 2.64



# 7
# BeZn3Cu6

An optimized crystal structure of BeZn3Cu6 (PBE, Alexandria via LeMat-Bulk).

Summary:
Its energy above the most stable polymorph in this dataset is 0.0 kJ per mole of atoms. The uncorrected energy is -3.275 eV/atom. The formation energy from the elements is -6.08 kJ per mole of atoms.

Unit cell a=3.7837 b=7.8326 c=8.2616 alpha=94.50 beta=90.00 gamma=90.00
Closest atoms and distances in Å follow each position.
Element x y z (fractional)
1 Cu 0.2500 0.4482 0.0981  5 Cu 2.54-2.71, 7 Zn 2.58-2.61
2 Zn 0.7500 0.4495 0.5978  8 Cu 2.55-2.75, 4 Zn 2.64-2.65
3 Cu 0.7500 0.7813 0.5114  3 Be 2.40-2.41, 5 Cu 2.47-2.66, 1 Zn 2.61
4 Zn 0.7500 0.2420 0.9934  10 Cu 2.54-2.72, 2 Zn 2.70
5 Zn 0.2500 0.3458 0.7900  8 Cu 2.53-2.68, 4 Zn 2.64-2.70
6 Cu 0.7500 0.9531 0.1140  1 Be 2.36, 3 Cu 2.48-2.58, 4 Zn 2.53-2.55
7 Cu 0.2500 0.8741 0.3255  3 Be 2.37-2.39, 3 Cu 2.48-2.58
8 Be 0.2500 0.9483 0.6087  8 Cu 2.36-2.41
9 Zn 0.7500 0.6542 0.2100  8 Cu 2.53-2.68, 4 Zn 2.64-2.70
10 Cu 0.7500 0.3366 0.2999  1 Be 2.41, 4 Cu 2.52-2.66, 5 Zn 2.55-2.65
11 Cu 0.2500 0.1472 0.1916  8 Cu 2.47-2.58, 2 Zn 2.65, 2 Be 2.66
12 Be 0.7500 0.0517 0.3913  8 Cu 2.36-2.41
13 Cu 0.7500 0.5518 0.9019  5 Cu 2.54-2.71, 7 Zn 2.58-2.61
14 Zn 0.2500 0.7580 0.0066  10 Cu 2.54-2.72, 2 Zn 2.70
15 Cu 0.2500 0.0469 0.8860  1 Be 2.36, 3 Cu 2.48-2.58, 4 Zn 2.53-2.55
16 Cu 0.7500 0.1259 0.6745  3 Be 2.37-2.39, 3 Cu 2.48-2.58
17 Cu 0.2500 0.2187 0.4886  3 Be 2.40-2.41, 5 Cu 2.47-2.66, 1 Zn 2.61
18 Zn 0.2500 0.5505 0.4022  8 Cu 2.55-2.75, 4 Zn 2.64-2.65
19 Cu 0.2500 0.6634 0.7001  1 Be 2.41, 4 Cu 2.52-2.66, 5 Zn 2.55-2.65
20 Cu 0.7500 0.8528 0.8084  8 Cu 2.47-2.58, 2 Zn 2.65, 2 Be 2.66



# 8
# BeZn2Cu12

An optimized crystal structure of BeZn2Cu12 (PBE, Alexandria via LeMat-Bulk).

Summary:
The uncorrected energy is -3.500 eV/atom. The formation energy from the elements is 18.82 kJ per mole of atoms.

Unit cell a=4.8258 b=4.8258 c=17.0448 alpha=90.00 beta=90.00 gamma=90.00
Closest atoms and distances in Å follow each position.
Element x y z (fractional)
1 Cu 0.0000 0.0000 0.8047  5 Cu 2.35-2.51
2 Cu 0.1759 0.3241 0.4356  8 Cu 2.40-2.52
3 Zn 0.0000 0.5000 0.2660  8 Cu 2.67-2.70
4 Cu 0.6759 0.8241 0.5644  8 Cu 2.40-2.52
5 Zn 0.5000 0.0000 0.7340  8 Cu 2.67-2.70
6 Cu 0.5000 0.5000 0.8047  5 Cu 2.35-2.51
7 Cu 0.3241 0.8241 0.4356  8 Cu 2.40-2.52
8 Cu 0.0000 0.0000 0.1953  5 Cu 2.35-2.51
9 Cu 0.7499 0.7501 0.9130  2 Be 2.26, 6 Cu 2.41-2.51
10 Cu 0.6759 0.1759 0.4356  8 Cu 2.40-2.52
11 Be 0.0000 0.5000 0.0000  8 Cu 2.26
12 Cu 0.2501 0.7501 0.0870  2 Be 2.26, 6 Cu 2.41-2.51
13 Cu 0.0000 0.0000 0.3334  5 Cu 2.35-2.49
14 Cu 0.7501 0.7499 0.0870  2 Be 2.26, 6 Cu 2.41-2.51
15 Cu 0.8241 0.3241 0.5644  8 Cu 2.40-2.52
16 Be 0.5000 0.0000 0.0000  8 Cu 2.26
17 Cu 0.1759 0.6759 0.5644  8 Cu 2.40-2.52
18 Cu 0.5000 0.5000 0.3334  5 Cu 2.35-2.49
19 Zn 0.0000 0.5000 0.7340  8 Cu 2.67-2.70
20 Cu 0.2501 0.2499 0.9130  2 Be 2.26, 6 Cu 2.41-2.51
21 Zn 0.5000 0.0000 0.2660  8 Cu 2.67-2.70
22 Cu 0.0000 0.0000 0.6666  5 Cu 2.35-2.49
23 Cu 0.7499 0.2499 0.0870  2 Be 2.26, 6 Cu 2.41-2.51
24 Cu 0.7501 0.2501 0.9130  2 Be 2.26, 6 Cu 2.41-2.51
25 Cu 0.5000 0.5000 0.1953  5 Cu 2.35-2.51
26 Cu 0.2499 0.2501 0.0870  2 Be 2.26, 6 Cu 2.41-2.51
27 Cu 0.2499 0.7499 0.9130  2 Be 2.26, 6 Cu 2.41-2.51
28 Cu 0.8241 0.6759 0.4356  8 Cu 2.40-2.52
29 Cu 0.3241 0.1759 0.5644  8 Cu 2.40-2.52
30 Cu 0.5000 0.5000 0.6666  5 Cu 2.35-2.49



# 9
# Be2ZnCu6

An optimized crystal structure of Be2ZnCu6 (PBE, Alexandria via LeMat-Bulk).

Summary:
Its energy above the most stable polymorph in this dataset is 0.4 kJ per mole of atoms. The uncorrected energy is -3.705 eV/atom. The formation energy from the elements is -0.45 kJ per mole of atoms.

Unit cell a=4.2660 b=7.1601 c=7.1601 alpha=71.16 beta=83.96 gamma=83.96
Closest atoms and distances in Å follow each position.
Element x y z (fractional)
1 Cu 0.3078 0.7392 0.0155  2 Be 2.35-2.47, 4 Cu 2.43-2.51, 3 Zn 2.51-2.62
2 Cu 0.6922 0.2608 0.9845  2 Be 2.35-2.47, 4 Cu 2.43-2.51, 3 Zn 2.51-2.62
3 Cu 0.8458 0.6461 0.8924  4 Be 2.36-2.55, 5 Cu 2.46-2.51
4 Cu 0.1542 0.3539 0.1076  4 Be 2.36-2.55, 5 Cu 2.46-2.51
5 Cu 0.0243 0.5607 0.3244  4 Be 2.35-2.58, 5 Cu 2.38-2.54, 1 Zn 2.53
6 Cu 0.9757 0.4393 0.6756  4 Be 2.35-2.58, 5 Cu 2.38-2.54, 1 Zn 2.53
7 Cu 0.5243 0.3244 0.5607  4 Be 2.35-2.58, 5 Cu 2.38-2.54, 1 Zn 2.53
8 Be 0.5922 0.4587 0.2129  10 Cu 2.35-2.58
9 Cu 0.1922 0.9845 0.2608  2 Be 2.35-2.47, 4 Cu 2.43-2.51, 3 Zn 2.51-2.62
10 Cu 0.6542 0.1076 0.3539  4 Be 2.36-2.55, 5 Cu 2.46-2.51
11 Be 0.4078 0.5413 0.7871  10 Cu 2.35-2.58
12 Cu 0.8078 0.0155 0.7392  2 Be 2.35-2.47, 4 Cu 2.43-2.51, 3 Zn 2.51-2.62
13 Zn 0.2500 0.1188 0.8812  10 Cu 2.51-2.67
14 Be 0.0922 0.2129 0.4587  10 Cu 2.35-2.58
15 Be 0.9078 0.7871 0.5413  10 Cu 2.35-2.58
16 Zn 0.7500 0.8812 0.1188  10 Cu 2.51-2.67
17 Cu 0.3458 0.8924 0.6461  4 Be 2.36-2.55, 5 Cu 2.46-2.51
18 Cu 0.4757 0.6756 0.4393  4 Be 2.35-2.58, 5 Cu 2.38-2.54, 1 Zn 2.53



# 10
# BeZnCu2

An optimized crystal structure of BeZnCu2 (PBE, Alexandria via LeMat-Bulk).

Summary:
Its energy above the most stable polymorph in this dataset is 9.9 kJ per mole of atoms. The uncorrected energy is -3.283 eV/atom. The formation energy from the elements is 1.47 kJ per mole of atoms.

Unit cell a=2.9746 b=3.9875 c=3.9108 alpha=90.00 beta=90.00 gamma=90.00
Closest atoms and distances in Å follow each position.
Element x y z (fractional)
1 Zn 0.5000 0.0000 0.5000  4 Cu 2.46, 4 Be 2.49
2 Cu 0.0000 0.0000 0.0000  4 Zn 2.46, 4 Cu 2.49
3 Cu 0.5000 0.5000 0.0000  4 Be 2.46, 4 Cu 2.49
4 Be 0.0000 0.5000 0.5000  4 Cu 2.46, 4 Zn 2.49



no.,V (Å³ per atom)
1,11.62
2,11.57
3,12.15
4,12.22
5,11.36
6,12.31
7,12.20
8,13.23
9,11.40
10,11.60